# Sr2MnBr2O2

A geometry-optimized Sr2MnBr2O2 structure (PBE+U, Alexandria via LeMat-Bulk).

E_tot in eV/atom: -5.609
SG: No. 139
Crystal system: tetragonal

Unit cell a=4.2282 b=4.2282 c=8.9398 alpha=103.68 beta=103.68 gamma=90.00
Site moments in Bohr magnetons follow the coordinates.
Fractional coordinates of all 7 atoms:
O (0.5000, 0.0000, 0.0000)  0.06
O (0.0000, 0.5000, 0.0000)  0.06
Mn (0.0000, 0.0000, 0.0000)  4.58
Br (0.8238, 0.8238, 0.6475)  0.02
Br (0.1762, 0.1762, 0.3525)  0.02
Sr (0.5971, 0.5971, 0.1942)  0.00
Sr (0.4029, 0.4029, 0.8058)  0.00